Record 1
HfTc2SnW | GGA-PBE | relaxed

Output
The calculation puts the volume at 22.4 A^3/atom. For the formation energy, the calculation gives 1.34 eV/atom. Its calculated total energy is -8.1868 eV per atom.

Cell lengths 4.703, 4.703, 5.055 Å; angles 90.00, 90.00, 90.00 degrees
Space group P4/mmm (No. 123)
Inequivalent atoms, fractional coordinates:
Hf 0.000 0.000 0.000
Tc 0.000 0.500 0.500
Sn 0.500 0.500 0.000
W 0.500 0.500 0.500

Record 2
Be2VCrPd | GGA-PBE | relaxed

Output
The calculation puts the volume at 15.1 A^3/atom. For the formation energy, the calculation gives 1.09 eV/atom. Its calculated total energy is -5.1864 eV per atom.

Cell lengths 4.015, 4.015, 4.679 Å; angles 90.00, 90.00, 90.00 degrees
Space group P4/mmm (No. 123)
Inequivalent atoms, fractional coordinates:
Be 0.000 0.500 0.000
V 0.000 0.000 0.500
Cr 0.500 0.500 0.500
Pd 0.000 0.000 0.000

Record 3
GdHoMgTi | GGA-PBE | relaxed

Output
The calculation puts the volume at 25.7 A^3/atom. For the formation energy, the calculation gives 0.14 eV/atom. Its calculated total energy is -6.8963 eV per atom.

Cell lengths 7.435, 7.435, 7.435 Å; angles 90.00, 90.00, 90.00 degrees
Space group F-43m (No. 216)
Inequivalent atoms, fractional coordinates:
Gd 0.000 0.000 0.000
Ho 0.000 0.000 0.500
Mg 0.250 0.250 0.750
Ti 0.250 0.250 0.250

Record 4
AlGa2H | GGA-PBE | relaxed

Output
The calculation puts the volume at 15.2 A^3/atom. The energy relative to the lowest polymorph listed for this composition is 0 meV/atom. Its calculated total energy is -2.9906 eV per atom.

Cell lengths 2.9126, 2.9126, 24.8551 Å; angles 90.00, 90.00, 120.00 degrees
Space group R-3m (No. 166, hexagonal axes)
Inequivalent atoms, fractional coordinates:
Al 0.0000 0.0000 0.0000
Ga 0.0000 0.0000 0.1095
H 0.0000 0.0000 0.5000

Record 5
Nd2Dy5Er3 | GGA-PBE | relaxed

Output
The calculation puts the volume at 34.3 A^3/atom. For the formation energy, the calculation gives 0.41 eV/atom. The energy relative to the lowest polymorph listed for this composition is 215 meV/atom. Its calculated total energy is -4.2121 eV per atom.

Cell lengths 9.357, 21.679, 6.773 Å; angles 90.00, 90.00, 90.00 degrees
Space group Ibam (No. 72)
Inequivalent atoms, fractional coordinates:
Nd 0.102 0.125 0.000
Dy 0.000 0.251 0.250
Dy 0.000 0.500 0.250
Dy 0.089 0.375 0.500
Er 0.000 0.000 0.250
Er 0.250 0.124 0.500

Record 6
Sr6Tl3Zn | GGA-PBE | relaxed

Output
The calculation puts the volume at 36.3 A^3/atom. For the formation energy, the calculation gives -0.28 eV/atom. Its calculated total energy is -2.1263 eV per atom.

Cell lengths 10.096, 5.822, 13.204 Å; angles 90.00, 110.61, 90.00 degrees
Space group P2_1/m (No. 11)
Inequivalent atoms, fractional coordinates:
Sr 0.017 0.250 0.410
Sr 0.166 0.750 0.168
Sr 0.258 0.250 0.001
Sr 0.346 0.750 0.832
Sr 0.375 0.250 0.358
Sr 0.379 0.250 0.643
Tl 0.028 0.750 0.876
Tl 0.094 0.250 0.722
Tl 0.267 0.750 0.474
Zn 0.455 0.750 0.096

Record 7
LuMg2H6 | GGA-PBE | relaxed

Output
The calculation puts the volume at 11.2 A^3/atom. Its calculated total energy is -2.8967 eV per atom.

Cell lengths 7.398, 7.398, 7.398 Å; angles 90.00, 90.00, 90.00 degrees
Space group Fm-3m (No. 225)
Inequivalent atoms, fractional coordinates:
Lu 0.000 0.000 0.000
Mg 0.250 0.250 0.250
H 0.000 0.000 0.272

Record 8
Dy6ErTl | GGA-PBE | relaxed

Output
The calculation puts the volume at 30.0 A^3/atom. For the formation energy, the calculation gives -0.08 eV/atom. The energy relative to the lowest polymorph listed for this composition is 0 meV/atom. Its calculated total energy is -4.3937 eV per atom.

Cell lengths 4.893, 4.893, 10.017 Å; angles 90.00, 90.00, 90.00 degrees
Space group P4/mmm (No. 123)
Inequivalent atoms, fractional coordinates:
Dy 0.000 0.000 0.000
Dy 0.000 0.000 0.500
Dy 0.000 0.500 0.246
Er 0.500 0.500 0.500
Tl 0.500 0.500 0.000

Which of these has the lowest calculated total energy? HfTc2SnW